[1]
! Na3FeB2O6 (GGA+U, optimized geometry); values from VASP
&SYSTEM
  ibrav = 0, nat = 12, ntyp = 4
/
ATOMIC_SPECIES
Na 22.99 Na.upf
Fe 55.84 Fe.upf
B 10.81 B.upf
O 16.00 O.upf
CELL_PARAMETERS angstrom
5.1645 0.0000 0.0000
-2.5822 4.4726 0.0000
0.0000 0.0000 6.0395
ATOMIC_POSITIONS angstrom
Na 0.0000 0.0000 0.0000
Na 0.0000 2.9817 4.4652
Na 2.5822 1.4909 1.5743
Fe 0.0000 0.0000 3.0197
B 0.0000 2.9817 1.7604
B 2.5822 1.4909 4.2791
O 0.0000 1.5982 1.7459
O -1.1981 3.6734 1.7459
O 1.3841 0.7991 4.2936
O 1.1981 3.6734 1.7459
O 3.7803 0.7991 4.2936
O 2.5822 2.8743 4.2936
! M_tot (μB per cell): 5.00
! SG: No. 164
! Calculated total energy (eV/atom): -6.392
! Theoretical density (kg/m3): 2886

***

[2]
! NaFe2B2O6 (GGA+U, optimized geometry); values from VASP
&SYSTEM
  ibrav = 0, nat = 11, ntyp = 4
/
ATOMIC_SPECIES
Na 22.99 Na.upf
Fe 55.84 Fe.upf
B 10.81 B.upf
O 16.00 O.upf
CELL_PARAMETERS angstrom
5.3388 0.0000 0.0000
-2.2330 4.8779 0.0000
-0.2558 -2.8027 4.5725
ATOMIC_POSITIONS angstrom
Na 0.0000 0.0000 0.0000
Fe 0.2129 1.0724 3.1699
Fe 2.6372 1.0027 1.4025
B -0.2858 2.7211 1.2674
B 3.1359 -0.6460 3.3051
O -1.3702 2.3661 2.0495
O -0.2315 3.8947 0.5419
O 0.7856 1.8084 1.2837
O 2.0645 0.2667 3.2887
O 3.0816 -1.8195 4.0305
O 4.2203 -0.2909 2.5230
! M_tot (μB per cell): 9.00
! SG: No. 2
! Calculated total energy (eV/atom): -6.928
! Theoretical density (kg/m3): 3518

***

[3]
! Na6Fe2B4PO16 (GGA+U, optimized geometry); values from VASP
&SYSTEM
  ibrav = 0, nat = 58, ntyp = 5
/
ATOMIC_SPECIES
Na 22.99 Na.upf
Fe 55.84 Fe.upf
B 10.81 B.upf
P 30.97 P.upf
O 16.00 O.upf
CELL_PARAMETERS angstrom
0.0000 7.0491 7.0491
7.0491 0.0000 7.0491
7.0491 7.0491 0.0000
ATOMIC_POSITIONS angstrom
Na 5.2868 5.2868 1.2422
Na 5.2868 1.2422 5.2868
Na 9.3315 5.2868 5.2868
Na 8.8114 8.8114 4.7667
Na 8.8114 4.7667 8.8114
Na 12.8561 8.8114 8.8114
Na 1.2422 5.2868 5.2868
Na 5.2868 9.3315 5.2868
Na 5.2868 5.2868 9.3315
Na 4.7667 8.8114 8.8114
Na 8.8114 12.8561 8.8114
Na 8.8114 8.8114 12.8561
Fe 7.0491 3.5246 3.5246
Fe 3.5246 7.0491 3.5246
Fe 3.5246 3.5246 7.0491
Fe 7.0491 7.0491 7.0491
B 4.0391 4.0391 4.0391
B 6.5346 6.5346 4.0391
B 6.5346 4.0391 6.5346
B 10.0591 7.5637 7.5637
B 4.0391 6.5346 6.5346
B 7.5637 10.0591 7.5637
B 7.5637 7.5637 10.0591
B 10.0591 10.0591 10.0591
P 1.7623 1.7623 1.7623
P 12.3360 12.3360 12.3360
O 0.8648 0.8648 0.8648
O 2.6598 2.6598 0.8648
O 2.6598 0.8648 2.6598
O 6.7504 5.4931 3.1646
O 5.0806 3.1646 3.8233
O 7.4091 3.8233 5.4931
O 3.8233 5.0806 3.1646
O 7.4091 6.7504 5.0806
O 5.4931 3.1646 6.7504
O 0.8648 2.6598 2.6598
O 10.2750 8.6051 6.6892
O 9.0177 6.6892 7.3478
O 10.9336 7.3478 8.6051
O 5.4931 7.4091 3.8233
O 3.1646 3.8233 5.0806
O 6.7504 5.0806 7.4091
O 7.3478 9.0177 6.6892
O 10.9336 10.2750 9.0177
O 8.6051 6.6892 10.2750
O 3.1646 6.7504 5.4931
O 5.0806 7.4091 6.7504
O 3.8233 5.4931 7.4091
O 13.2335 11.4385 11.4385
O 8.6051 10.9336 7.3478
O 6.6892 7.3478 9.0177
O 10.2750 9.0177 10.9336
O 6.6892 10.2750 8.6051
O 9.0177 10.9336 10.2750
O 7.3478 8.6051 10.9336
O 11.4385 13.2335 11.4385
O 11.4385 11.4385 13.2335
O 13.2335 13.2335 13.2335
! M_tot (μB per cell): 16.79
! SG: No. 203
! Calculated total energy (eV/atom): -6.436
! Theoretical density (kg/m3): 2749

***

[4]
! Na3FeSiBO7 (GGA+U, optimized geometry); values from VASP
&SYSTEM
  ibrav = 0, nat = 26, ntyp = 5
/
ATOMIC_SPECIES
Na 22.99 Na.upf
Fe 55.84 Fe.upf
Si 28.09 Si.upf
B 10.81 B.upf
O 16.00 O.upf
CELL_PARAMETERS angstrom
5.2878 0.0000 0.0000
0.0000 6.6766 0.0000
-0.3058 0.0000 8.9643
ATOMIC_POSITIONS angstrom
Na 1.1977 1.6691 0.7925
Na 1.1439 3.3929 6.5875
Na 1.1439 6.6220 6.5875
Na 3.8381 0.0546 2.3769
Na 3.8381 3.2837 2.3769
Na 3.7844 5.0074 8.1718
Fe 1.0202 5.0074 3.0723
Fe 3.9619 1.6691 5.8920
Si 1.3474 1.6691 3.8027
Si 3.6346 5.0074 5.1617
B 1.4136 5.0074 0.5883
B 3.5684 1.6691 8.3761
O 0.1442 5.0074 1.1390
O 0.4644 1.6691 5.1804
O 1.0338 0.3693 2.8470
O 1.0338 2.9689 2.8470
O 1.3691 5.0074 8.2310
O 2.0289 5.0074 4.7356
O 2.4106 5.0074 1.5635
O 2.5714 1.6691 7.4009
O 2.9532 1.6691 4.2287
O 3.6129 1.6691 0.7334
O 3.9483 3.7076 6.1173
O 3.9483 6.3072 6.1173
O 4.5176 5.0074 3.7839
O 4.8378 1.6691 7.8253
! M_tot (μB per cell): 8.03
! SG: No. 11
! Calculated total energy (eV/atom): -6.361
! Theoretical density (kg/m3): 2893